[1]
The following is a DFT calculation (PBE-GGA) of GdPuAgRh after structural relaxation.

extended XYZ file:
```
4
Lattice="0.0000 3.5552 3.5552 3.5552 0.0000 3.5552 3.5552 3.5552 0.0000" Properties=species:S:1:pos:R:3 pbc="T T T"
Gd 0.0000 0.0000 0.0000
Pu 3.5552 3.5552 3.5552
Ag 5.3328 5.3328 5.3328
Rh 1.7776 1.7776 1.7776
```

Energy relative to the elements   -0.29 eV per atom
SG   F-43m, No. 216
Volume   89.9 Å³/cell
Total magnetization   1.4 μB per cell
Energy   -39.79 eV per formula unit

***

[2]
The following is a DFT calculation (PBE-GGA) of GdPuAgSb after structural relaxation.

extended XYZ file:
```
4
Lattice="0.0000 3.7402 3.7402 3.7402 0.0000 3.7402 3.7402 3.7402 0.0000" Properties=species:S:1:pos:R:3 pbc="T T T"
Gd 0.0000 0.0000 0.0000
Pu 3.7402 3.7402 3.7402
Ag 5.6103 5.6103 5.6103
Sb 1.8701 1.8701 1.8701
```

Formation energy from raw total energies   -45.1 kJ per mole of atoms
SG   F-43m, No. 216
Volume   104.6 Å³/cell
Total magnetization   14.0 μB per cell
Energy   -37.26 eV per formula unit

***

[3]
The following is a DFT calculation (PBE-GGA) of GdPuThAg after structural relaxation.

extended XYZ file:
```
4
Lattice="0.0000 3.7619 3.7619 3.7619 0.0000 3.7619 3.7619 3.7619 0.0000" Properties=species:S:1:pos:R:3 pbc="T T T"
Gd 0.0000 0.0000 0.0000
Pu 1.8810 1.8810 1.8810
Th 3.7619 3.7619 3.7619
Ag 5.6429 5.6429 5.6429
```

Energy relative to the elements   0.13 eV per atom
SG   F-43m, No. 216
Volume   106.5 Å³/cell
Total magnetization   15.0 μB per cell
Energy   -38.15 eV per formula unit

***

[4]
The following is a DFT calculation (PBE-GGA) of RbGdAg2 after structural relaxation.

extended XYZ file:
```
4
Lattice="3.8506 0.0000 0.0000 0.0000 3.8506 0.0000 0.0000 0.0000 8.4483" Properties=species:S:1:pos:R:3 pbc="T T T"
Rb 0.0000 0.0000 0.0000
Gd 0.0000 0.0000 4.2242
Ag 1.9253 1.9253 2.7155
Ag 1.9253 1.9253 5.7328
```

Energy relative to the elements   -0.07 eV per atom
SG   P4/mmm, No. 123
Volume   125.3 Å³/cell
Total magnetization   7.1 μB per cell
Energy   -21.05 eV per formula unit

***

Q: Which of these has the lowest energy?
A: GdPuAgRh